[1]
This record from Alexandria via LeMat-Bulk describes a relaxed CaPb2Au9 crystal. The functional is PBE-GGA.

abc: 5.723 5.723 18.423
angles: 90.00 90.00 120.00
Fractional coordinates of all 24 atoms:
1 Ca 0.333 0.667 0.250
2 Ca 0.667 0.333 0.750
3 Pb 0.333 0.667 0.037
4 Pb 0.333 0.667 0.463
5 Pb 0.667 0.333 0.537
6 Pb 0.667 0.333 0.963
7 Au 0.000 0.000 0.000
8 Au 0.000 0.000 0.250
9 Au 0.000 0.000 0.500
10 Au 0.000 0.000 0.750
11 Au 0.168 0.336 0.624
12 Au 0.168 0.336 0.876
13 Au 0.168 0.832 0.624
14 Au 0.168 0.832 0.876
15 Au 0.333 0.667 0.750
16 Au 0.336 0.168 0.124
17 Au 0.336 0.168 0.376
18 Au 0.664 0.832 0.624
19 Au 0.664 0.832 0.876
20 Au 0.667 0.333 0.250
21 Au 0.832 0.168 0.124
22 Au 0.832 0.168 0.376
23 Au 0.832 0.664 0.124
24 Au 0.832 0.664 0.376

Output
- E_form (eV per atom) = -0.21
- total magnetization (μB/f.u.) = 0.00
- D(E_F) (states/eV per atom) = 0.42

=====

[2]
This record from Alexandria via LeMat-Bulk describes a relaxed K2TbUTe4 crystal. The functional is PBE-GGA.

abc: 7.819 4.516 8.670
angles: 90.00 107.52 90.00
Fractional coordinates of all 8 atoms:
1 K 0.000 0.000 0.000
2 K 0.500 0.500 0.000
3 Tb 0.000 0.500 0.500
4 U 0.500 0.000 0.500
5 Te 0.235 0.000 0.711
6 Te 0.261 0.500 0.289
7 Te 0.739 0.500 0.711
8 Te 0.765 0.000 0.289

Output
- total magnetization (μB/f.u.) = 3.01
- D(E_F) (states/eV per atom) = 1.13
- E_form (uncorrected) (eV/atom) = -1.113

=====

[3]
This record from Alexandria via LeMat-Bulk describes a relaxed Na2NpScTe4 crystal. The functional is PBE-GGA.

abc: 7.582 4.367 7.935
angles: 90.00 108.66 90.00
Fractional coordinates of all 8 atoms:
1 Na 0.000 0.000 0.000
2 Na 0.500 0.500 0.000
3 Np 0.000 0.500 0.500
4 Sc 0.500 0.000 0.500
5 Te 0.257 0.000 0.730
6 Te 0.271 0.500 0.276
7 Te 0.729 0.500 0.724
8 Te 0.743 0.000 0.270

Output
- total magnetization (μB/f.u.) = 4.00
- D(E_F) (states/eV per atom) = 1.08
- E_form (uncorrected) (eV/atom) = -0.983